Record 1
The following is a GGA-PBE calculation of a geometry-optimized Hf2TaMoC structure, from Alexandria.

Properties
- DOS(E_F): 0.65 states/eV per atom
- Magnetic moment: 0.0 μB/f.u.
- DFT formation energy: 1.666 eV/atom
- Crystal system: tetragonal

Geometry as extended XYZ:
```
5
Lattice="-1.020 4.282 2.696 -3.770 -1.163 0.422 1.246 -2.453 4.368" Properties=species:S:1:pos:R:3 pbc="T T T"
C -1.885 -0.582 0.211
Ta 0.000 0.000 0.000
Hf -0.510 2.141 1.348
Hf 0.623 -1.227 2.184
Mo -1.772 0.333 3.743
```

***

Record 2
The following is a GGA-PBE calculation of a geometry-optimized Sc8HN2 structure, from Alexandria.

Properties
- VASP energy: -7.106 eV per atom
- DOS(E_F): 1.16 states/eV per atom
- Magnetic moment: 2.6 μB/f.u.
- Crystal system: monoclinic

Geometry as extended XYZ:
```
11
Lattice="4.774 -0.095 0.148 0.070 6.241 1.849 -0.199 -0.102 6.506" Properties=species:S:1:pos:R:3 pbc="T T T"
Sc 1.107 3.687 5.086
Sc 1.065 0.633 4.613
Sc 1.214 4.149 2.032
Sc 3.538 2.358 3.417
Sc 3.430 1.896 6.471
Sc 1.186 1.080 1.540
Sc 3.459 4.965 6.963
Sc 3.580 5.412 3.890
N 1.167 2.358 3.280
N 3.478 3.686 5.223
H 0.000 0.000 0.000
```